[1]
The following is a PBE calculation of Y2ScNiBi after structural relaxation, from Alexandria via LeMat-Bulk.

Unit cell a=5.260 b=5.260 c=4.870 alpha=90.00 beta=90.00 gamma=90.00
Fractional coordinates of all 5 atoms:
Y (0.000, 0.500, 0.000)
Y (0.500, 0.000, 0.000)
Sc (0.000, 0.000, 0.500)
Ni (0.000, 0.000, 0.000)
Bi (0.500, 0.500, 0.500)

## Properties
The space-group type is P4/mmm (123). The formation energy comes out at -1.92 eV per formula unit.

***

[2]
The following is a PBE calculation of LiSmIn2 after structural relaxation, from Alexandria via LeMat-Bulk.

Unit cell a=7.084 b=11.109 c=4.915 alpha=90.00 beta=90.00 gamma=90.00
Fractional coordinates of all 16 atoms:
Li (0.000, 0.147, 0.250)
Li (0.000, 0.853, 0.750)
Li (0.500, 0.353, 0.750)
Li (0.500, 0.647, 0.250)
Sm (0.000, 0.342, 0.750)
Sm (0.000, 0.658, 0.250)
Sm (0.500, 0.158, 0.250)
Sm (0.500, 0.842, 0.750)
In (0.228, 0.088, 0.750)
In (0.228, 0.912, 0.250)
In (0.272, 0.412, 0.250)
In (0.272, 0.588, 0.750)
In (0.728, 0.412, 0.250)
In (0.728, 0.588, 0.750)
In (0.772, 0.088, 0.750)
In (0.772, 0.912, 0.250)

## Properties
The space-group type is Cmcm (63). The formation energy comes out at -1.75 eV per formula unit.

***

[3]
The following is a PBE calculation of VAu3Cl after structural relaxation, from Alexandria via LeMat-Bulk.

Unit cell a=4.903 b=4.903 c=4.903 alpha=90.00 beta=90.00 gamma=90.00
Fractional coordinates of all 5 atoms:
V (0.000, 0.000, 0.000)
Au (0.000, 0.500, 0.500)
Au (0.500, 0.000, 0.500)
Au (0.500, 0.500, 0.000)
Cl (0.500, 0.500, 0.500)

## Properties
The offset from the most stable computed form comes out at 312 meV/atom. The calculation puts the uncorrected formation energy at 1.215 eV/atom. The space-group type is Pm-3m (221).

***

[4]
The following is a PBE calculation of Mn2BiPb after structural relaxation, from Alexandria via LeMat-Bulk.

Unit cell a=6.583 b=6.583 c=6.583 alpha=90.00 beta=90.00 gamma=90.00
Fractional coordinates of all 16 atoms:
Mn (0.250, 0.250, 0.250)
Mn (0.250, 0.250, 0.750)
Mn (0.250, 0.750, 0.250)
Mn (0.250, 0.750, 0.750)
Mn (0.750, 0.250, 0.250)
Mn (0.750, 0.250, 0.750)
Mn (0.750, 0.750, 0.250)
Mn (0.750, 0.750, 0.750)
Bi (0.000, 0.000, 0.000)
Bi (0.000, 0.500, 0.500)
Bi (0.500, 0.000, 0.500)
Bi (0.500, 0.500, 0.000)
Pb (0.000, 0.000, 0.500)
Pb (0.000, 0.500, 0.000)
Pb (0.500, 0.000, 0.000)
Pb (0.500, 0.500, 0.500)

## Properties
The offset from the most stable computed form comes out at 360 meV/atom. The space-group type is Fm-3m (225). The formation energy comes out at 3.72 eV per formula unit.

***

[5]
The following is a PBE calculation of BeCrSn2 after structural relaxation, from Alexandria via LeMat-Bulk.

Unit cell a=7.477 b=7.477 c=5.777 alpha=90.00 beta=90.00 gamma=90.00
Fractional coordinates of all 16 atoms:
Be (0.000, 0.000, 0.000)
Be (0.000, 0.500, 0.250)
Be (0.500, 0.000, 0.750)
Be (0.500, 0.500, 0.500)
Cr (0.000, 0.000, 0.500)
Cr (0.000, 0.500, 0.750)
Cr (0.500, 0.000, 0.250)
Cr (0.500, 0.500, 0.000)
Sn (0.199, 0.250, 0.125)
Sn (0.250, 0.699, 0.375)
Sn (0.250, 0.801, 0.875)
Sn (0.301, 0.250, 0.625)
Sn (0.699, 0.750, 0.625)
Sn (0.750, 0.199, 0.875)
Sn (0.750, 0.301, 0.375)
Sn (0.801, 0.750, 0.125)

## Properties
The space-group type is I-42d (122). The formation energy comes out at 2.32 eV per formula unit.

***

[6]
The following is a PBE calculation of La4Sm7Th after structural relaxation, from Alexandria via LeMat-Bulk.

Unit cell a=6.852 b=6.852 c=13.015 alpha=114.11 beta=114.11 gamma=53.07
Fractional coordinates of all 12 atoms:
La (0.057, 0.057, 0.332)
La (0.361, 0.361, 0.222)
La (0.639, 0.639, 0.778)
La (0.943, 0.943, 0.668)
Sm (0.000, 0.000, 0.000)
Sm (0.211, 0.211, 0.924)
Sm (0.256, 0.256, 0.688)
Sm (0.364, 0.364, 0.495)
Sm (0.636, 0.636, 0.505)
Sm (0.744, 0.744, 0.312)
Sm (0.789, 0.789, 0.076)
Th (0.500, 0.500, 0.000)

## Properties
The offset from the most stable computed form comes out at 236 meV/atom. The space-group type is C2/m (12). The formation energy comes out at 3.06 eV per formula unit.

***

[7]
The following is a PBE calculation of NpMnPbS4 after structural relaxation, from Alexandria via LeMat-Bulk.

Unit cell a=6.596 b=6.244 c=8.171 alpha=90.00 beta=107.91 gamma=90.00
Fractional coordinates of all 14 atoms:
Np (0.227, 0.250, 0.053)
Np (0.773, 0.750, 0.947)
Mn (0.231, 0.750, 0.819)
Mn (0.769, 0.250, 0.181)
Pb (0.276, 0.250, 0.558)
Pb (0.724, 0.750, 0.442)
S (0.017, 0.511, 0.225)
S (0.017, 0.989, 0.225)
S (0.432, 0.750, 0.635)
S (0.443, 0.750, 0.095)
S (0.557, 0.250, 0.905)
S (0.568, 0.250, 0.365)
S (0.983, 0.011, 0.775)
S (0.983, 0.489, 0.775)

## Properties
The calculation puts the uncorrected formation energy at -0.796 eV/atom. The space-group type is P2_1/m (11).

***

[8]
The following is a PBE calculation of Ta2TlAg after structural relaxation, from Alexandria via LeMat-Bulk.

Unit cell a=7.675 b=7.675 c=5.608 alpha=90.00 beta=90.00 gamma=90.00
Fractional coordinates of all 16 atoms:
Ta (0.241, 0.250, 0.125)
Ta (0.250, 0.741, 0.375)
Ta (0.250, 0.759, 0.875)
Ta (0.259, 0.250, 0.625)
Ta (0.741, 0.750, 0.625)
Ta (0.750, 0.241, 0.875)
Ta (0.750, 0.259, 0.375)
Ta (0.759, 0.750, 0.125)
Tl (0.000, 0.000, 0.500)
Tl (0.000, 0.500, 0.750)
Tl (0.500, 0.000, 0.250)
Tl (0.500, 0.500, 0.000)
Ag (0.000, 0.000, 0.000)
Ag (0.000, 0.500, 0.250)
Ag (0.500, 0.000, 0.750)
Ag (0.500, 0.500, 0.500)

## Properties
The space-group type is I-42d (122). The formation energy comes out at 3.74 eV per formula unit.